# 1
A plane-wave DFT calculation with PBE was carried out for crystalline CrMoBr2 at its relaxed geometry.

Structure (POSCAR):
```
CrMoBr2
1.0
-1.0644 0.9270 4.4822
-3.3332 -2.4883 2.1865
1.1784 -3.0510 3.3742
Cr Mo Br
1 1 2
Direct
0.0000 0.0000 0.0000
0.5000 0.5000 0.5000
0.2500 0.2500 0.2500
0.7500 0.7500 0.7500
```

Properties
Total DFT energy (no corrections) in eV/atom: -5.145
Offset from the most stable computed form in eV per atom: 0.779
Size of the total moment in μB per formula unit: 2.560


# 2
A plane-wave DFT calculation with PBE was carried out for crystalline Nd7Er3Mg at its relaxed geometry.

Structure (POSCAR):
```
Nd7Er3Mg
1.0
-1.7498 -0.4550 -8.4664
6.9077 -1.0691 -1.3703
-4.2970 -5.5557 1.1867
Nd Er Mg
7 3 1
Direct
0.1125 0.1671 0.8329
0.1125 0.1671 0.3341
0.1162 0.6667 0.3333
0.4530 0.8311 0.1689
0.4530 0.3378 0.1689
0.4530 0.8311 0.6622
0.1125 0.6659 0.8329
0.7830 0.5009 0.4991
0.7830 0.5009 0.0017
0.7830 0.9983 0.4991
0.4531 0.3333 0.6667
```

Properties
ΔE_f in eV per formula unit: 1.99
Total DFT energy (no corrections) in eV/atom: -4.243
Size of the total moment in μB per formula unit: 0.000